Entry 1:
ScCd2Tc | PBE-GGA | optimized geometry

abc: 6.727 6.727 6.727
angles: 90.00 90.00 90.00
Space group F-43m (No. 216)
One atom of each set of equivalent atoms:
Sc: 0.000 0.000 0.000 (multiplicity 4)
Cd: 0.000 0.000 0.500 (multiplicity 4)
Cd: 0.250 0.250 0.250 (multiplicity 4)
Tc: 0.250 0.250 0.750 (multiplicity 4)

Calculated values
Uncorrected energy   -4.475 eV/atom
Formation energy   0.1570 eV per atom
DOS at the Fermi energy   3.35 states/eV/f.u.

Entry 2:
ScCd2Tc | PBE-GGA | optimized geometry

abc: 9.937 3.382 4.907
angles: 90.00 111.51 90.00
Space group Cm (No. 8)
One atom of each set of equivalent atoms:
Sc: 0.000 0.000 0.000 (multiplicity 2)
Cd: 0.031 0.500 0.528 (multiplicity 2)
Cd: 0.276 0.500 0.333 (multiplicity 2)
Tc: 0.275 0.000 0.843 (multiplicity 2)

Calculated values
Uncorrected energy   -4.547 eV/atom
Formation energy   0.0845 eV per atom
DOS at the Fermi energy   3.42 states/eV/f.u.

Entry 3:
Sc2Cd2Tc | PBE-GGA | optimized geometry

abc: 4.023 4.023 13.686
angles: 90.00 90.00 90.00
Space group I4/mmm (No. 139)
One atom of each set of equivalent atoms:
Sc: 0.000 0.500 0.250 (multiplicity 4)
Cd: 0.000 0.000 0.095 (multiplicity 4)
Tc: 0.000 0.000 0.500 (multiplicity 2)

Calculated values
Uncorrected energy   -4.295 eV/atom
Formation energy   0.6773 eV per atom
DOS at the Fermi energy   4.12 states/eV/f.u.

Entry 4:
ScCd2Tc | PBE-GGA | optimized geometry

abc: 6.721 6.721 6.721
angles: 90.00 90.00 90.00
Space group Fm-3m (No. 225)
One atom of each set of equivalent atoms:
Sc: 0.000 0.000 0.000 (multiplicity 4)
Cd: 0.250 0.250 0.250 (multiplicity 8)
Tc: 0.000 0.000 0.500 (multiplicity 4)

Calculated values
Uncorrected energy   -4.461 eV/atom
Formation energy   0.1707 eV per atom
DOS at the Fermi energy   5.54 states/eV/f.u.

Entry 5:
ScCd2Tc | PBE-GGA | optimized geometry

abc: 4.042 4.042 4.577
angles: 90.00 90.00 90.00
Space group P4/mmm (No. 123)
One atom of each set of equivalent atoms:
Sc: 0.000 0.000 0.000 (multiplicity 1)
Cd: 0.000 0.500 0.500 (multiplicity 2)
Tc: 0.500 0.500 0.000 (multiplicity 1)

Calculated values
Uncorrected energy   -4.619 eV/atom
Formation energy   0.0128 eV per atom
DOS at the Fermi energy   3.37 states/eV/f.u.

Entry 6:
ScCdTc2 | PBE-GGA | optimized geometry

abc: 2.982 4.109 5.811
angles: 90.00 98.09 90.00
Space group Pm (No. 6)
One atom of each set of equivalent atoms:
Sc: 0.000 0.000 0.000 (multiplicity 1)
Cd: 0.432 0.500 0.721 (multiplicity 1)
Tc: 0.498 0.500 0.249 (multiplicity 1)
Tc: 0.894 0.000 0.430 (multiplicity 1)

Calculated values
Uncorrected energy   -6.934 eV/atom
Formation energy   0.0606 eV per atom
DOS at the Fermi energy   3.08 states/eV/f.u.

Entry 7:
ScCd3Tc | PBE-GGA | optimized geometry

abc: 5.109 5.109 5.109
angles: 90.00 90.00 90.00
Space group Pm-3m (No. 221)
One atom of each set of equivalent atoms:
Sc: 0.000 0.000 0.000 (multiplicity 1)
Cd: 0.000 0.500 0.500 (multiplicity 3)
Tc: 0.500 0.500 0.500 (multiplicity 1)

Calculated values
Uncorrected energy   -3.132 eV/atom
Formation energy   0.7570 eV per atom
DOS at the Fermi energy   2.65 states/eV/f.u.

Entry 8:
ScCd2Tc | PBE-GGA | optimized geometry

abc: 2.934 4.502 5.662
angles: 90.00 90.00 90.00
Space group Pmmm (No. 47)
One atom of each set of equivalent atoms:
Sc: 0.000 0.000 0.000 (multiplicity 1)
Cd: 0.500 0.500 0.259 (multiplicity 2)
Tc: 0.000 0.000 0.500 (multiplicity 1)

Calculated values
Uncorrected energy   -4.561 eV/atom
Formation energy   0.0712 eV per atom
DOS at the Fermi energy   1.62 states/eV/f.u.

Entry 9:
ScCdTc2 | PBE-GGA | optimized geometry

abc: 3.363 4.452 9.184
angles: 90.00 90.00 90.00
Space group Immm (No. 71)
One atom of each set of equivalent atoms:
Sc: 0.000 0.000 0.000 (multiplicity 2)
Cd: 0.000 0.000 0.500 (multiplicity 2)
Tc: 0.000 0.500 0.254 (multiplicity 4)

Calculated values
Uncorrected energy   -6.770 eV/atom
Formation energy   0.2247 eV per atom
DOS at the Fermi energy   4.42 states/eV/f.u.

Entry 10:
ScCd2Tc | PBE-GGA | optimized geometry

abc: 3.019 3.019 8.680
angles: 90.00 90.00 90.00
Space group P4mm (No. 99)
One atom of each set of equivalent atoms:
Sc: 0.000 0.000 0.000 (multiplicity 1)
Cd: 0.000 0.000 0.448 (multiplicity 1)
Cd: 0.500 0.500 0.718 (multiplicity 1)
Tc: 0.500 0.500 0.216 (multiplicity 1)

Calculated values
Uncorrected energy   -4.547 eV/atom
Formation energy   0.0845 eV per atom
DOS at the Fermi energy   3.39 states/eV/f.u.

Entry 11:
ScCd2Tc | PBE-GGA | optimized geometry

abc: 3.975 3.975 20.894
angles: 90.00 90.00 90.00
Space group I-42d (No. 122)
One atom of each set of equivalent atoms:
Sc: 0.000 0.000 0.000 (multiplicity 4)
Cd: 0.236 0.250 0.625 (multiplicity 8)
Tc: 0.000 0.000 0.500 (multiplicity 4)

Calculated values
Uncorrected energy   -4.247 eV/atom
Formation energy   0.3850 eV per atom
DOS at the Fermi energy   2.09 states/eV/f.u.

Entry 12:
Sc6CdTc2 | PBE-GGA | optimized geometry

abc: 8.757 9.009 9.950
angles: 90.00 90.00 90.00
Space group Immm (No. 71)
One atom of each set of equivalent atoms:
Sc: 0.000 0.208 0.245 (multiplicity 8)
Sc: 0.188 0.500 0.166 (multiplicity 8)
Sc: 0.218 0.310 0.500 (multiplicity 8)
Cd: 0.000 0.000 0.000 (multiplicity 2)
Cd: 0.000 0.000 0.500 (multiplicity 2)
Tc: 0.000 0.325 0.000 (multiplicity 4)
Tc: 0.000 0.500 0.379 (multiplicity 4)

Calculated values
Uncorrected energy   -6.806 eV/atom
Formation energy   -0.1796 eV per atom
DOS at the Fermi energy   10.38 states/eV/f.u.

| no. | calculated density (g/cm³) | total moment (Bohr magnetons per cell) |
| --- | --- | --- |
| 1 | 8.02 | 0.0 |
| 2 | 7.96 | 0.0 |
| 3 | 6.19 | 6.0 |
| 4 | 8.05 | 0.0 |
| 5 | 8.17 | 0.0 |
| 6 | 8.32 | 0.0 |
| 7 | 5.98 | 0.0 |
| 8 | 8.17 | 0.0 |
| 9 | 8.53 | 0.0 |
| 10 | 7.72 | 1.0 |
| 11 | 7.40 | 0.0 |
| 12 | 4.89 | 0.0 |